(1)
Below is a relaxed structure of SrPr2SmAs4, with properties calculated at the GGA-PBE level.

Properties
- Crystal system: monoclinic
- E_form: -1.33 eV per atom
- Space-group type: P2/m (10)

Unit cell a=7.482 b=4.315 c=7.513 alpha=90.00 beta=109.44 gamma=90.00
Atoms (fractional coordinates):
Sr 0.000 0.000 0.000
Pr 0.500 0.000 0.500
Pr 0.500 0.500 0.000
Sm 0.000 0.500 0.500
As 0.250 0.000 0.743
As 0.256 0.500 0.261
As 0.744 0.500 0.739
As 0.750 0.000 0.257


(2)
Below is a relaxed structure of PmLuSnGe, with properties calculated at the GGA-PBE level.

Properties
- Crystal system: cubic
- E_form: -0.51 eV per atom
- Space-group type: F-43m (216)

Unit cell a=5.242 b=5.242 c=5.242 alpha=60.00 beta=60.00 gamma=60.00
Atoms (fractional coordinates):
Pm 0.000 0.000 0.000
Lu 0.500 0.500 0.500
Sn 0.250 0.250 0.250
Ge 0.750 0.750 0.750


(3)
Below is a relaxed structure of Ca2TiAs3Pt4, with properties calculated at the GGA-PBE level.

Properties
- Crystal system: tetragonal
- E_form: -0.80 eV per atom
- Space-group type: P-4m2 (115)

Unit cell a=4.214 b=4.214 c=10.857 alpha=90.00 beta=90.00 gamma=90.00
Atoms (fractional coordinates):
Ca 0.000 0.500 0.233
Ca 0.500 0.000 0.767
Ti 0.000 0.000 0.500
As 0.000 0.500 0.861
As 0.500 0.000 0.139
As 0.500 0.500 0.500
Pt 0.000 0.000 0.000
Pt 0.000 0.500 0.636
Pt 0.500 0.000 0.364
Pt 0.500 0.500 0.000


(4)
Below is a relaxed structure of Sm2Y2Ho2Tm, with properties calculated at the GGA-PBE level.

Properties
- Crystal system: trigonal
- E_form: 0.14 eV per atom
- Space-group type: R-3m (166)

Unit cell a=8.794 b=8.794 c=8.794 alpha=37.64 beta=37.64 gamma=37.64
Atoms (fractional coordinates):
Sm 0.139 0.139 0.139
Sm 0.861 0.861 0.861
Y 0.286 0.286 0.286
Y 0.714 0.714 0.714
Ho 0.428 0.428 0.428
Ho 0.572 0.572 0.572
Tm 0.000 0.000 0.000


(5)
Below is a relaxed structure of Y3InN, with properties calculated at the GGA-PBE level.

Properties
- Formation energy without anion corrections: -3.303 eV per formula unit
- Crystal system: monoclinic
- Space-group type: C2/m (12)

Unit cell a=8.846 b=8.846 c=8.285 alpha=93.31 beta=93.31 gamma=24.50
Atoms (fractional coordinates):
Y 0.011 0.011 0.237
Y 0.200 0.200 0.356
Y 0.333 0.333 0.034
Y 0.667 0.667 0.966
Y 0.800 0.800 0.644
Y 0.989 0.989 0.763
In 0.400 0.400 0.433
In 0.600 0.600 0.567
N 0.202 0.202 0.098
N 0.798 0.798 0.902


(6)
Below is a relaxed structure of TaOsW2, with properties calculated at the GGA-PBE level.

Properties
- Crystal system: orthorhombic
- E_form: -0.04 eV per atom
- Space-group type: Immm (71)
- Excess energy over the best structure of this formula in the dataset: 19 meV/atom

Unit cell a=5.306 b=5.306 c=5.306 alpha=144.79 beta=130.59 gamma=62.12
Atoms (fractional coordinates):
Ta 0.000 0.000 0.000
Os 0.500 0.500 0.000
W 0.246 0.746 0.500
W 0.754 0.254 0.500


(7)
Below is a relaxed structure of KIn4Fe, with properties calculated at the GGA-PBE level.

Properties
- Crystal system: cubic
- E_form: 0.43 eV per atom
- Space-group type: F-43m (216)

Unit cell a=6.126 b=6.126 c=6.126 alpha=60.00 beta=60.00 gamma=60.00
Atoms (fractional coordinates):
K 0.000 0.000 0.000
In 0.375 0.375 0.375
In 0.375 0.375 0.874
In 0.375 0.874 0.375
In 0.874 0.375 0.375
Fe 0.750 0.750 0.750


(8)
Below is a relaxed structure of NbGeBi2F, with properties calculated at the GGA-PBE level.

Properties
- Formation energy without anion corrections: 0.417 eV per formula unit
- Crystal system: tetragonal
- Space-group type: P4/mmm (123)

Unit cell a=5.397 b=5.397 c=4.054 alpha=90.00 beta=90.00 gamma=90.00
Atoms (fractional coordinates):
Nb 0.000 0.000 0.000
Ge 0.500 0.500 0.000
Bi 0.000 0.500 0.500
Bi 0.500 0.000 0.500
F 0.000 0.000 0.500